Rb4Pa3MnO12 (GGA+U, optimized geometry); total DFT energy (no corrections) = -7.5200 eV/atom; SG = No. 229
1.0
7.464 0.000 0.000
-2.488 7.037 0.000
-2.488 -3.519 6.094
O Mn Pa Rb
12 1 3 4
Direct
0.750 0.250 0.500
0.250 0.500 0.750
0.762 0.000 0.762
0.250 0.750 0.500
0.750 0.500 0.250
0.000 0.762 0.762
0.500 0.250 0.750
0.238 0.000 0.238
0.000 0.238 0.238
0.762 0.762 0.000
0.500 0.750 0.250
0.238 0.238 0.000
0.000 0.000 0.000
0.500 0.500 0.000
0.000 0.500 0.500
0.500 0.000 0.500
0.000 0.500 0.000
0.000 0.000 0.500
0.500 0.000 0.000
0.500 0.500 0.500